1.
Entry from Alexandria via LeMat-Bulk: an optimized crystal structure of CdP4 (GGA-PBEsol).

The structure in POSCAR format:
```
CdP4
1.0
5.225 0.000 0.000
0.000 5.116 0.000
-1.207 0.000 7.498
Cd P
2 8
Direct
0.000 0.000 0.000
0.000 0.500 0.500
0.259 0.211 0.753
0.259 0.289 0.253
0.396 0.606 0.099
0.396 0.894 0.599
0.604 0.106 0.401
0.604 0.394 0.901
0.741 0.711 0.747
0.741 0.789 0.247
```

Size of the total moment   0.0 μB/f.u.
Formation enthalpy at 0 K   -0.052 eV/atom
Space group   No. 14
Density   3.9 Mg/m³



2.
Entry from Alexandria via LeMat-Bulk: an optimized crystal structure of CdPPb2 (GGA-PBEsol).

The structure in POSCAR format:
```
CdPPb2
1.0
0.000 3.644 3.644
3.644 0.000 3.644
3.644 3.644 0.000
Cd P Pb
1 1 2
Direct
0.000 0.000 0.000
0.750 0.750 0.750
0.250 0.250 0.250
0.500 0.500 0.500
```

Size of the total moment   0.0 μB/f.u.
Formation enthalpy at 0 K   0.324 eV/atom
Space group   No. 216
Density   9.6 Mg/m³



3.
Entry from Alexandria via LeMat-Bulk: an optimized crystal structure of Cd3PPb (GGA-PBEsol).

The structure in POSCAR format:
```
Cd3PPb
1.0
5.440 0.000 0.000
0.000 5.440 0.000
0.000 0.000 5.440
Cd P Pb
3 1 1
Direct
0.000 0.000 0.500
0.000 0.500 0.000
0.500 0.000 0.000
0.500 0.500 0.500
0.000 0.000 0.000
```

Size of the total moment   1.4 μB/f.u.
Formation enthalpy at 0 K   0.973 eV/atom
Space group   No. 221
Density   5.9 Mg/m³



4.
Entry from Alexandria via LeMat-Bulk: an optimized crystal structure of Cd3PPb (GGA-PBEsol).

The structure in POSCAR format:
```
Cd3PPb
1.0
5.060 0.000 0.000
0.000 5.060 0.000
0.000 0.000 5.060
Cd P Pb
3 1 1
Direct
0.000 0.000 0.500
0.000 0.500 0.000
0.500 0.000 0.000
0.000 0.000 0.000
0.500 0.500 0.500
```

Size of the total moment   0.0 μB/f.u.
Formation enthalpy at 0 K   0.364 eV/atom
Space group   No. 221
Density   7.4 Mg/m³



5.
Entry from Alexandria via LeMat-Bulk: an optimized crystal structure of CdP4Pb (GGA-PBEsol).

The structure in POSCAR format:
```
CdP4Pb
1.0
0.000 4.000 4.000
4.000 0.000 4.000
4.000 4.000 0.000
Cd P Pb
1 4 1
Direct
0.000 0.000 0.000
0.051 0.650 0.650
0.650 0.051 0.650
0.650 0.650 0.051
0.650 0.650 0.650
0.250 0.250 0.250
```

Size of the total moment   0.0 μB/f.u.
Formation enthalpy at 0 K   0.405 eV/atom
Space group   No. 216
Density   5.8 Mg/m³



6.
Entry from Alexandria via LeMat-Bulk: an optimized crystal structure of CdPPbS2 (GGA-PBEsol).

The structure in POSCAR format:
```
CdPPbS2
1.0
5.080 0.000 0.000
0.000 5.080 0.000
0.000 0.000 5.186
Cd P Pb S
1 1 1 2
Direct
0.000 0.000 0.000
0.500 0.500 0.000
0.500 0.500 0.500
0.000 0.500 0.500
0.500 0.000 0.500
```

Formation energy without anion corrections   0.846 eV/atom
Size of the total moment   0.9 μB/f.u.
Space group   No. 123
Density   5.1 Mg/m³



7.
Entry from Alexandria via LeMat-Bulk: an optimized crystal structure of CdPPd5 (GGA-PBEsol).

The structure in POSCAR format:
```
CdPPd5
1.0
3.907 0.000 0.000
0.000 3.907 0.000
0.000 0.000 6.914
Cd P Pd
1 1 5
Direct
0.000 0.000 0.000
0.500 0.500 0.500
0.000 0.500 0.300
0.000 0.500 0.700
0.500 0.000 0.300
0.500 0.000 0.700
0.500 0.500 0.000
```

Size of the total moment   0.0 μB/f.u.
Formation enthalpy at 0 K   -0.480 eV/atom
Space group   No. 123
Density   10.6 Mg/m³



8.
Entry from Alexandria via LeMat-Bulk: an optimized crystal structure of Cd3PPd (GGA-PBEsol).

The structure in POSCAR format:
```
Cd3PPd
1.0
4.991 0.000 0.000
0.000 4.991 0.000
0.000 0.000 4.991
Cd P Pd
3 1 1
Direct
0.000 0.000 0.500
0.000 0.500 0.000
0.500 0.000 0.000
0.500 0.500 0.500
0.000 0.000 0.000
```

Size of the total moment   0.0 μB/f.u.
Formation enthalpy at 0 K   0.566 eV/atom
Space group   No. 221
Density   6.3 Mg/m³



9.
Entry from Alexandria via LeMat-Bulk: an optimized crystal structure of CdRe2PPd (GGA-PBEsol).

The structure in POSCAR format:
```
CdRe2PPd
1.0
4.327 0.000 0.000
0.000 4.327 0.000
0.000 0.000 4.707
Cd Re P Pd
1 2 1 1
Direct
0.000 0.000 0.000
0.000 0.500 0.500
0.500 0.000 0.500
0.000 0.000 0.500
0.500 0.500 0.000
```

Size of the total moment   0.0 μB/f.u.
Formation enthalpy at 0 K   1.024 eV/atom
Space group   No. 123
Density   11.7 Mg/m³



10.
Entry from Alexandria via LeMat-Bulk: an optimized crystal structure of PrCd3P3 (GGA-PBEsol).

The structure in POSCAR format:
```
PrCd3P3
1.0
4.257 0.000 0.000
-2.129 3.687 0.000
0.000 0.000 20.732
Pr Cd P
2 6 6
Direct
0.000 0.000 0.000
0.000 0.000 0.500
0.333 0.667 0.126
0.333 0.667 0.374
0.333 0.667 0.750
0.667 0.333 0.250
0.667 0.333 0.626
0.667 0.333 0.874
0.333 0.667 0.250
0.333 0.667 0.579
0.333 0.667 0.921
0.667 0.333 0.079
0.667 0.333 0.421
0.667 0.333 0.750
```

Size of the total moment   0.0 μB/f.u.
Formation enthalpy at 0 K   -0.467 eV/atom
Space group   No. 194
Density   5.8 Mg/m³



11.
Entry from Alexandria via LeMat-Bulk: an optimized crystal structure of CdPPt5 (GGA-PBEsol).

The structure in POSCAR format:
```
CdPPt5
1.0
3.918 0.000 0.000
0.000 3.918 0.000
0.000 0.000 7.033
Cd P Pt
1 1 5
Direct
0.000 0.000 0.000
0.500 0.500 0.500
0.000 0.500 0.299
0.000 0.500 0.701
0.500 0.000 0.299
0.500 0.000 0.701
0.500 0.500 0.000
```

Size of the total moment   0.0 μB/f.u.
Formation enthalpy at 0 K   -0.358 eV/atom
Space group   No. 123
Density   17.2 Mg/m³



12.
Entry from Alexandria via LeMat-Bulk: an optimized crystal structure of CdP2Pt (GGA-PBEsol).

The structure in POSCAR format:
```
CdP2Pt
1.0
1.635 0.944 7.017
-1.635 0.944 7.017
0.000 -1.888 7.017
Cd P Pt
1 2 1
Direct
0.000 0.000 0.000
0.495 0.495 0.495
0.764 0.764 0.764
0.233 0.233 0.233
```

Size of the total moment   0.0 μB/f.u.
Formation enthalpy at 0 K   -0.087 eV/atom
Space group   No. 160
Density   9.4 Mg/m³